LiSi2Ir3 | GGA-PBE | relaxed

Cell: 3.6702 5.5236 5.5236 Å, 120.00 90.00 90.00°
Fractional positions:
1 Li 0.0000 0.0000 0.0000
2 Si 0.0000 0.6667 0.3333
3 Si 0.0000 0.3333 0.6667
4 Ir 0.5000 0.0000 0.5000
5 Ir 0.5000 0.5000 0.5000
6 Ir 0.5000 0.5000 0.0000

Its magnetization is 0.00 μB/cell. As for the calculated total energy: -6.93 eV/atom. The formation energy without anion corrections comes out at -0.372 eV/atom.